Entry 1:
Here is crystalline ScSnTe3Au at its relaxed geometry from OQMD. Energies are from GGA-PBE.

Properties
The symmetry is Cmcm, No. 63.

abc: 7.602 7.602 10.885
angles: 90.00 90.00 148.29
Element x y z (fractional)
Sc1 0.000 0.000 0.000
Sc2 0.000 0.000 0.500
Sn1 0.211 0.789 0.750
Sn2 0.789 0.211 0.250
Te1 0.092 0.908 0.250
Te2 0.356 0.644 0.041
Te3 0.356 0.644 0.459
Te4 0.644 0.356 0.541
Te5 0.644 0.356 0.959
Te6 0.908 0.092 0.750
Au1 0.464 0.536 0.250
Au2 0.536 0.464 0.750


Entry 2:
Here is crystalline Lu2ZnOs at its relaxed geometry from OQMD. Energies are from GGA-PBE.

Properties
The symmetry is P6_3/mmc, No. 194.

abc: 4.882 4.882 8.241
angles: 90.00 90.00 120.00
Element x y z (fractional)
Lu1 0.333 0.667 0.082
Lu2 0.333 0.667 0.418
Lu3 0.667 0.333 0.582
Lu4 0.667 0.333 0.918
Zn1 0.000 0.000 0.000
Zn2 0.000 0.000 0.500
Os1 0.333 0.667 0.750
Os2 0.667 0.333 0.250


How do the records compare in E_tot? In the order shown, they have -4.395; -5.111 eV/atom.